# 1
VASP calculation (PBE-GGA) on a relaxed structure of KLiDyTe3.

Structure (CIF):
```
data_KLiDyTe3
_cell_length_a 4.399
_cell_length_b 15.330
_cell_length_c 11.619
_cell_angle_alpha 90.00
_cell_angle_beta 90.00
_cell_angle_gamma 90.00
_space_group_name_H-M_alt 'C m c m'
_space_group_IT_number 63
_space_group_name_Hall '-C 2c 2'
loop_
_atom_site_label
_atom_site_type_symbol
_atom_site_fract_x
_atom_site_fract_y
_atom_site_fract_z
K1 K 0.000 0.247 0.250
Li1 Li 0.000 0.039 0.750
Dy1 Dy 0.000 0.500 0.000
Te1 Te 0.000 0.135 0.551
Te2 Te 0.000 0.434 0.750
```


# 2
VASP calculation (PBE-GGA) on a relaxed structure of KDyMgSe3.

Structure (CIF):
```
data_KDyMgSe3
_cell_length_a 9.011
_cell_length_b 4.248
_cell_length_c 10.092
_cell_angle_alpha 90.00
_cell_angle_beta 107.42
_cell_angle_gamma 90.00
_space_group_name_H-M_alt 'P 1 21/m 1'
_space_group_IT_number 11
loop_
_space_group_symop_operation_xyz
'x,y,z'
'-x,-y,-z'
'-x,y+1/2,-z'
'x,-y+1/2,z'
loop_
_atom_site_label
_atom_site_type_symbol
_atom_site_fract_x
_atom_site_fract_y
_atom_site_fract_z
K1 K 0.213 0.250 0.231
Dy1 Dy 0.329 0.750 0.867
Mg1 Mg 0.086 0.250 0.610
Se1 Se 0.109 0.250 0.866
Se2 Se 0.209 0.750 0.543
Se3 Se 0.464 0.750 0.157
```


Computed values of total energy (unit: eV per atom) for the preceding records, in sequence: -3.91; -4.50.